# 1
A relaxed structure of La3Hg, computed with PBE.

Geometry as POSCAR:
```
La3Hg
1.0
3.739 0.000 0.000
0.000 5.748 0.000
0.000 0.000 5.910
Hg La
1 3
Cartesian
0.000 0.000 5.720
0.000 2.874 2.051
1.870 0.000 2.694
1.870 2.874 5.296
```

Output
Distance to the lowest polymorph of the same formula ... 51 meV per atom
Formation enthalpy at 0 K ... -0.200 eV per atom
Uncorrected energy ... -3.9708 eV/atom



# 2
A relaxed structure of LaHg, computed with PBE.

Geometry as POSCAR:
```
LaHg
1.0
0.521 -2.589 -5.679
2.997 -4.479 -3.191
-4.537 -6.363 -0.317
La Hg
3 3
Cartesian
-0.390 -8.922 -6.388
-1.912 -2.889 -0.291
2.093 -5.485 -6.249
-4.317 -6.269 -0.465
-2.163 -7.677 -3.678
-0.056 -4.223 -3.152
```

Output
Formation enthalpy at 0 K ... -0.378 eV per atom
Uncorrected energy ... -2.9928 eV/atom



# 3
A relaxed structure of LaHg, computed with PBE.

Geometry as POSCAR:
```
LaHg
1.0
6.305 0.000 0.000
0.000 6.305 0.000
0.000 0.000 6.569
La Hg
4 4
Cartesian
1.910 4.395 0.000
5.063 5.063 3.284
1.242 1.242 3.284
4.395 1.910 0.000
1.153 1.153 0.000
4.306 1.999 3.284
1.999 4.306 3.284
5.152 5.152 0.000
```

Output
Formation enthalpy at 0 K ... -0.332 eV per atom
Uncorrected energy ... -2.9462 eV/atom



# 4
A relaxed structure of La3Hg, computed with PBE.

Geometry as POSCAR:
```
La3Hg
1.0
4.939 0.000 0.000
-2.470 5.729 0.000
0.000 2.130 4.456
Hg La
1 3
Cartesian
0.000 0.000 0.000
0.000 3.397 1.114
2.470 1.065 2.228
2.470 4.462 3.342
```

Output
Distance to the lowest polymorph of the same formula ... 49 meV per atom
Formation enthalpy at 0 K ... -0.201 eV per atom
Uncorrected energy ... -3.9725 eV/atom



# 5
A relaxed structure of LaHg4, computed with PBE.

Geometry as POSCAR:
```
LaHg4
1.0
-2.408 -2.649 5.126
4.095 -4.697 -0.503
4.064 3.164 3.544
Hg La
4 1
Cartesian
0.000 0.000 0.000
0.828 0.258 4.335
4.080 -0.767 1.520
0.844 -3.673 2.311
2.876 -2.091 4.083
```

Output
Distance to the lowest polymorph of the same formula ... 632 meV per atom
Formation enthalpy at 0 K ... 0.299 eV per atom
Uncorrected energy ... -0.9283 eV/atom



# 6
A relaxed structure of La4Hg, computed with PBE.

Geometry as POSCAR:
```
La4Hg
1.0
3.777 0.000 -0.570
-0.086 3.776 -0.570
-0.120 -0.122 11.999
La Hg
4 1
Cartesian
2.142 2.191 1.391
0.675 0.691 4.470
2.896 2.963 6.388
1.430 1.462 9.467
0.000 0.000 0.000
```

Output
Distance to the lowest polymorph of the same formula ... 0 meV per atom
Formation enthalpy at 0 K ... -0.196 eV per atom
Uncorrected energy ... -4.1978 eV/atom



# 7
A relaxed structure of La3Hg5, computed with PBE.

Geometry as POSCAR:
```
La3Hg5
1.0
-0.927 -8.271 3.972
2.640 3.965 -7.897
7.317 2.676 4.958
Hg La
10 6
Cartesian
5.408 2.251 -2.455
3.625 -3.868 3.478
5.658 -3.748 6.586
3.380 2.119 -5.546
3.148 -2.951 -0.085
5.888 1.329 1.113
6.308 -1.489 4.391
2.713 -0.140 -3.358
2.852 1.135 0.001
6.178 -2.757 1.025
1.285 -3.230 -2.941
7.745 1.599 3.979
3.786 -0.768 2.498
5.247 -0.849 -1.475
7.682 3.498 -0.481
1.350 -5.119 1.510
```

Output
Distance to the lowest polymorph of the same formula ... 70 meV per atom
Formation enthalpy at 0 K ... -0.405 eV per atom
Uncorrected energy ... -2.4419 eV/atom



# 8
A relaxed structure of La2Hg17, computed with PBE.

Geometry as POSCAR:
```
La2Hg17
1.0
-5.787 3.166 -5.309
-4.639 -6.219 -3.391
-7.698 -0.222 3.519
La Hg
2 17
Cartesian
-12.966 -2.343 -3.706
-5.158 -0.932 -1.474
-10.636 -1.452 -0.742
-9.407 -3.861 -3.518
-1.807 -0.326 -0.516
-16.317 -2.949 -4.664
-3.849 -0.111 1.760
-2.893 1.583 -2.654
-2.320 -3.109 -1.695
-4.984 -3.402 -3.966
-6.780 -2.022 1.445
-6.360 2.149 -2.659
-5.442 0.349 -4.733
-5.557 -4.419 -1.316
-7.124 0.795 0.870
-8.717 0.586 -1.662
-7.488 -1.823 -4.438
-8.256 -3.184 -0.891
-9.868 -0.092 -4.288
```

Output
Formation enthalpy at 0 K ... -0.131 eV per atom
Uncorrected energy ... -0.9196 eV/atom



# 9
A relaxed structure of La3Hg2, computed with PBE.

Geometry as POSCAR:
```
La3Hg2
1.0
-6.364 11.269 -1.336
-7.834 10.182 2.058
-4.473 12.064 1.928
La Hg
3 2
Cartesian
0.000 0.000 0.000
-14.843 26.644 2.107
-3.828 6.871 0.543
-11.260 20.212 1.599
-7.411 13.303 1.052
```

Output
Formation enthalpy at 0 K ... -0.271 eV per atom
Uncorrected energy ... -3.3482 eV/atom



# 10
A relaxed structure of La3Hg, computed with PBE.

Geometry as POSCAR:
```
La3Hg
1.0
3.849 0.000 0.000
0.000 3.838 0.000
0.000 0.000 8.978
Hg La
1 3
Cartesian
0.000 0.000 0.000
0.000 0.000 4.489
1.924 1.919 1.988
1.924 1.919 6.990
```

Output
Distance to the lowest polymorph of the same formula ... 0 meV per atom
Formation enthalpy at 0 K ... -0.251 eV per atom
Uncorrected energy ... -4.0216 eV/atom



no.,total moment (μB per formula unit)
1,0.000
2,0.000
3,0.000
4,0.000
5,0.575
6,0.005
7,0.264
8,0.000
9,0.000
10,0.000